1.
! RbBaSbI2 | the Alexandria database | GGA-PBEsol | relaxed; values from VASP
&SYSTEM
  ibrav = 0, nat = 5, ntyp = 4
/
ATOMIC_SPECIES
Ba 137.33 Ba.upf
Sb 121.76 Sb.upf
I 126.90 I.upf
Rb 85.47 Rb.upf
ATOMIC_POSITIONS crystal
Ba 0.5000 0.5000 0.5000
Sb 0.5000 0.0000 0.0000
I 0.0000 0.5000 0.0000
I 0.0000 0.0000 0.5000
Rb 0.0000 0.0000 0.0000
CELL_PARAMETERS angstrom
6.0879 0.0000 0.0000
0.0000 6.2844 0.0000
0.0000 0.0000 6.2844
! raw formation energy	-391	meV per atom
! crystal system	tetragonal
! total magnetization	0.89	μB per formula unit

2.
! CaLa2Au | the Alexandria database | GGA-PBEsol | relaxed; values from VASP
&SYSTEM
  ibrav = 0, nat = 4, ntyp = 3
/
ATOMIC_SPECIES
La 138.91 La.upf
Ca 40.08 Ca.upf
Au 196.97 Au.upf
ATOMIC_POSITIONS crystal
La 0.0000 0.0000 0.0000
La 0.7500 0.2500 0.5000
Ca 0.2500 0.7500 0.5000
Au 0.5000 0.5000 0.0000
CELL_PARAMETERS angstrom
4.6345 0.0000 0.0000
0.0000 4.6345 0.0000
-2.3172 -2.3172 5.2399
! energy of formation from the pure elements	-155	meV/atom
! energy above the lowest structure with this stoichiometry	199	meV per atom
! crystal system	tetragonal
! total magnetization	0.00	μB per formula unit

3.
! Ag2Pt | the Alexandria database | GGA-PBEsol | relaxed; values from VASP
&SYSTEM
  ibrav = 0, nat = 12, ntyp = 2
/
ATOMIC_SPECIES
Pt 195.08 Pt.upf
Ag 107.87 Ag.upf
ATOMIC_POSITIONS crystal
Pt 0.1659 0.1622 0.3361
Pt 0.1635 0.6666 0.3411
Pt 0.8378 0.8341 0.6639
Pt 0.3334 0.8365 0.6589
Ag 0.6658 0.6669 0.3357
Ag 0.3331 0.3342 0.6643
Ag 0.4982 0.9984 0.9961
Ag 0.4971 0.5029 0.0000
Ag 0.0023 0.9977 0.0000
Ag 0.6674 0.1662 0.3317
Ag 0.8338 0.3326 0.6683
Ag 0.0016 0.5018 0.0039
CELL_PARAMETERS angstrom
-1.2090 -2.3492 4.9657
-4.0671 -3.0360 -2.4250
2.6196 -5.7499 -0.4787
! energy of formation from the pure elements	-8	meV/atom
! energy above the lowest structure with this stoichiometry	0	meV per atom
! crystal system	monoclinic
! total magnetization	0.00	μB per formula unit

4.
! LiAuBr2 | the Alexandria database | GGA-PBEsol | relaxed; values from VASP
&SYSTEM
  ibrav = 0, nat = 4, ntyp = 3
/
ATOMIC_SPECIES
Au 196.97 Au.upf
Br 79.90 Br.upf
Li 6.94 Li.upf
ATOMIC_POSITIONS crystal
Au 0.5000 0.0000 0.0000
Br 0.0000 0.0000 0.5000
Br 0.0000 0.5000 0.0000
Li 0.5000 0.5000 0.5000
CELL_PARAMETERS angstrom
3.4548 0.0000 0.0000
0.0000 4.9007 0.0000
0.0000 0.0000 4.9007
! energy above the lowest structure with this stoichiometry	310	meV per atom
! raw formation energy	-415	meV per atom
! crystal system	tetragonal
! total magnetization	0.00	μB per formula unit

5.
! Cr3NiPd | the Alexandria database | GGA-PBEsol | relaxed; values from VASP
&SYSTEM
  ibrav = 0, nat = 5, ntyp = 3
/
ATOMIC_SPECIES
Pd 106.42 Pd.upf
Cr 52.00 Cr.upf
Ni 58.69 Ni.upf
ATOMIC_POSITIONS crystal
Pd 0.0000 0.0000 0.0000
Cr 0.0000 0.0000 0.5000
Cr 0.5000 0.0000 0.0000
Cr 0.0000 0.5000 0.0000
Ni 0.5000 0.5000 0.5000
CELL_PARAMETERS angstrom
-2.3060 -2.6656 -3.0423
2.0598 -3.7878 1.7575
-3.4811 -0.4755 3.0552
! energy of formation from the pure elements	1872	meV/atom
! crystal system	cubic
! total magnetization	11.45	μB per formula unit

6.
! KLiMnSb2 | the Alexandria database | GGA-PBEsol | relaxed; values from VASP
&SYSTEM
  ibrav = 0, nat = 5, ntyp = 4
/
ATOMIC_SPECIES
Sb 121.76 Sb.upf
Li 6.94 Li.upf
K 39.10 K.upf
Mn 54.94 Mn.upf
ATOMIC_POSITIONS crystal
Sb 0.0000 0.5000 0.0000
Sb 0.0000 0.0000 0.5000
Li 0.5000 0.5000 0.5000
K 0.0000 0.0000 0.0000
Mn 0.5000 0.0000 0.0000
CELL_PARAMETERS angstrom
5.2743 0.0000 0.0000
0.0000 5.8173 0.0000
0.0000 0.0000 5.8173
! raw formation energy	1332	meV per atom
! crystal system	tetragonal
! total magnetization	4.77	μB per formula unit

7.
! Li2AlSi | the Alexandria database | GGA-PBEsol | relaxed; values from VASP
&SYSTEM
  ibrav = 0, nat = 4, ntyp = 3
/
ATOMIC_SPECIES
Si 28.09 Si.upf
Al 26.98 Al.upf
Li 6.94 Li.upf
ATOMIC_POSITIONS crystal
Si 0.5000 0.0000 0.5000
Al 0.7500 0.5000 0.7500
Li 0.0000 0.0000 0.0000
Li 0.2500 0.5000 0.2500
CELL_PARAMETERS angstrom
-0.8401 -0.7758 3.8589
-3.1401 -1.3498 -3.0539
-0.0948 -3.9407 -0.8129
! raw formation energy	-151	meV per atom
! crystal system	tetragonal
! total magnetization	0.00	μB per formula unit

8.
! KCd3Pt | the Alexandria database | GGA-PBEsol | relaxed; values from VASP
&SYSTEM
  ibrav = 0, nat = 5, ntyp = 3
/
ATOMIC_SPECIES
Pt 195.08 Pt.upf
Cd 112.41 Cd.upf
K 39.10 K.upf
ATOMIC_POSITIONS crystal
Pt 0.0000 0.0000 0.0000
Cd 0.0000 0.0000 0.5000
Cd 0.0000 0.5000 0.0000
Cd 0.5000 0.0000 0.0000
K 0.5000 0.5000 0.5000
CELL_PARAMETERS angstrom
5.2093 0.0000 0.0000
0.0000 5.2093 0.0000
0.0000 0.0000 5.2093
! energy of formation from the pure elements	-167	meV/atom
! crystal system	cubic
! total magnetization	0.00	μB per formula unit

9.
! Ba2SrPt2 | the Alexandria database | GGA-PBEsol | relaxed; values from VASP
&SYSTEM
  ibrav = 0, nat = 10, ntyp = 3
/
ATOMIC_SPECIES
Ba 137.33 Ba.upf
Pt 195.08 Pt.upf
Sr 87.62 Sr.upf
ATOMIC_POSITIONS crystal
Ba 0.5000 0.1643 0.6643
Ba 0.5000 0.6643 0.8357
Ba 0.5000 0.8357 0.3357
Ba 0.5000 0.3357 0.1643
Pt 0.0000 0.3760 0.8760
Pt 0.0000 0.6240 0.1240
Pt 0.0000 0.8760 0.6240
Pt 0.0000 0.1240 0.3760
Sr 0.0000 0.5000 0.5000
Sr 0.0000 0.0000 0.0000
CELL_PARAMETERS angstrom
-1.5630 -4.0465 1.4818
3.5314 1.2888 7.2443
-6.8115 3.6117 2.6779
! energy of formation from the pure elements	-571	meV/atom
! crystal system	tetragonal
! total magnetization	0.00	μB per formula unit

10.
! ZnFe3Te | the Alexandria database | GGA-PBEsol | relaxed; values from VASP
&SYSTEM
  ibrav = 0, nat = 5, ntyp = 3
/
ATOMIC_SPECIES
Fe 55.84 Fe.upf
Zn 65.41 Zn.upf
Te 127.60 Te.upf
ATOMIC_POSITIONS crystal
Fe 0.5000 0.0000 0.0000
Fe 0.0000 0.0000 0.5000
Fe 0.0000 0.5000 0.0000
Zn 0.0000 0.0000 0.0000
Te 0.5000 0.5000 0.5000
CELL_PARAMETERS angstrom
4.3842 0.0000 0.0000
0.0000 4.3842 0.0000
0.0000 0.0000 4.3842
! raw formation energy	1033	meV per atom
! crystal system	cubic
! total magnetization	7.92	μB per formula unit

11.
! Dy2Zn17 | the Alexandria database | GGA-PBEsol | relaxed; values from VASP
&SYSTEM
  ibrav = 0, nat = 38, ntyp = 2
/
ATOMIC_SPECIES
Zn 65.41 Zn.upf
Dy 162.50 Dy.upf
ATOMIC_POSITIONS crystal
Zn 0.4788 0.8381 0.1619
Zn 0.4788 0.8381 0.6763
Zn 0.7500 0.9621 0.3287
Zn 0.5212 0.1619 0.3237
Zn 0.2500 0.3287 0.9621
Zn 0.2500 0.3287 0.3666
Zn 0.7500 0.3666 0.0379
Zn 0.3986 0.3333 0.6667
Zn 0.0212 0.8381 0.6763
Zn 0.7500 0.3666 0.3287
Zn 0.9788 0.6763 0.8381
Zn 0.0212 0.8381 0.1619
Zn 0.2500 0.0379 0.3666
Zn 0.6014 0.6667 0.3333
Zn 0.7500 0.9621 0.6334
Zn 0.2500 0.6334 0.6713
Zn 0.9788 0.1619 0.3237
Zn 0.8986 0.6667 0.3333
Zn 0.9788 0.1619 0.8381
Zn 0.5000 0.0000 0.5000
Zn 0.0000 0.5000 0.5000
Zn 0.1014 0.3333 0.6667
Zn 0.0000 0.5000 0.0000
Zn 0.7500 0.6713 0.6334
Zn 0.7500 0.6713 0.0379
Zn 0.5212 0.1619 0.8381
Zn 0.2500 0.6334 0.9621
Zn 0.0212 0.3237 0.1619
Zn 0.5212 0.6763 0.8381
Zn 0.5000 0.5000 0.0000
Zn 0.2500 0.0379 0.6713
Zn 0.5000 0.5000 0.5000
Zn 0.0000 0.0000 0.5000
Zn 0.4788 0.3237 0.1619
Dy 0.7500 0.0000 0.0000
Dy 0.2500 0.0000 0.0000
Dy 0.2500 0.6667 0.3333
Dy 0.7500 0.3333 0.6667
CELL_PARAMETERS angstrom
-8.4492 -0.6927 -1.4787
1.5151 -6.6290 -5.5515
-1.3570 -1.6313 8.5180
! energy of formation from the pure elements	-258	meV/atom
! crystal system	hexagonal
! total magnetization	0.00	μB per formula unit

12.
! TaInNi2 | the Alexandria database | GGA-PBEsol | relaxed; values from VASP
&SYSTEM
  ibrav = 0, nat = 4, ntyp = 3
/
ATOMIC_SPECIES
Ta 180.95 Ta.upf
In 114.82 In.upf
Ni 58.69 Ni.upf
ATOMIC_POSITIONS crystal
Ta 0.4903 0.4903 0.5290
In 0.2586 0.2586 0.2243
Ni 0.0061 0.0061 0.9818
Ni 0.7450 0.7450 0.7649
CELL_PARAMETERS angstrom
-2.3757 -0.3455 -1.5993
-0.0054 -1.8808 -2.1871
-3.4067 -6.7604 3.9198
! energy of formation from the pure elements	245	meV/atom
! crystal system	trigonal
! total magnetization	0.00	μB per formula unit

13.
! PrSiRu | the Alexandria database | GGA-PBEsol | relaxed; values from VASP
&SYSTEM
  ibrav = 0, nat = 6, ntyp = 3
/
ATOMIC_SPECIES
Pr 140.91 Pr.upf
Si 28.09 Si.upf
Ru 101.07 Ru.upf
ATOMIC_POSITIONS crystal
Pr 0.5000 0.0000 0.6769
Pr 0.0000 0.5000 0.3231
Si 0.0000 0.5000 0.8278
Si 0.5000 0.0000 0.1722
Ru 0.5000 0.5000 0.0000
Ru 0.0000 0.0000 0.0000
CELL_PARAMETERS angstrom
4.1809 0.0000 0.0000
0.0000 4.1809 0.0000
0.0000 0.0000 6.9394
! raw formation energy	-775	meV per atom
! crystal system	tetragonal
! total magnetization	0.00	μB per formula unit

14.
! YPAuO2 | the Alexandria database | GGA-PBEsol | relaxed; values from VASP
&SYSTEM
  ibrav = 0, nat = 5, ntyp = 4
/
ATOMIC_SPECIES
Y 88.91 Y.upf
Au 196.97 Au.upf
O 16.00 O.upf
P 30.97 P.upf
ATOMIC_POSITIONS crystal
Y 0.0000 0.0000 0.0000
Au 0.5000 0.5000 0.5000
O 0.0000 0.5000 0.0000
O 0.5000 0.0000 0.0000
P 0.0000 0.0000 0.5000
CELL_PARAMETERS angstrom
4.0381 0.0000 0.0000
0.0000 4.0381 0.0000
0.0000 0.0000 6.0312
! raw formation energy	-522	meV per atom
! crystal system	tetragonal
! total magnetization	1.65	μB per formula unit

15.
! NbSiIr | the Alexandria database | GGA-PBEsol | relaxed; values from VASP
&SYSTEM
  ibrav = 0, nat = 12, ntyp = 3
/
ATOMIC_SPECIES
Ir 192.22 Ir.upf
Nb 92.91 Nb.upf
Si 28.09 Si.upf
ATOMIC_POSITIONS crystal
Ir 0.7500 0.1453 0.9371
Ir 0.2500 0.3547 0.4371
Ir 0.7500 0.6453 0.5629
Ir 0.2500 0.8547 0.0629
Nb 0.7500 0.0243 0.3275
Nb 0.2500 0.9757 0.6725
Nb 0.7500 0.5243 0.1725
Nb 0.2500 0.4757 0.8275
Si 0.7500 0.2691 0.6248
Si 0.2500 0.7309 0.3752
Si 0.2500 0.2309 0.1248
Si 0.7500 0.7691 0.8752
CELL_PARAMETERS angstrom
-0.1282 1.5376 -3.4545
-6.3252 -0.9744 -0.1990
-1.1019 6.5491 2.9560
! raw formation energy	-901	meV per atom
! crystal system	orthorhombic
! total magnetization	0.00	μB per formula unit

16.
! Bi2O3 | the Alexandria database | GGA-PBEsol | relaxed; values from VASP
&SYSTEM
  ibrav = 0, nat = 20, ntyp = 2
/
ATOMIC_SPECIES
O 16.00 O.upf
Bi 208.98 Bi.upf
ATOMIC_POSITIONS crystal
O 0.2500 0.4480 0.0000
O 0.0841 0.1355 0.6980
O 0.5841 0.3645 0.8020
O 0.0841 0.6355 0.8020
O 0.7500 0.0520 0.5000
O 0.9159 0.8645 0.3020
O 0.5841 0.8645 0.6980
O 0.9159 0.3645 0.1980
O 0.2500 0.9480 0.5000
O 0.7500 0.5520 0.0000
O 0.4159 0.6355 0.1980
O 0.4159 0.1355 0.3020
Bi 0.4512 0.2144 0.6245
Bi 0.0488 0.2144 0.3755
Bi 0.0488 0.7144 0.1245
Bi 0.5488 0.2856 0.1245
Bi 0.5488 0.7856 0.3755
Bi 0.4512 0.7144 0.8755
Bi 0.9512 0.2856 0.8755
Bi 0.9512 0.7856 0.6245
CELL_PARAMETERS angstrom
-4.6970 -0.6010 2.8571
0.1540 -5.0335 -0.8057
6.3264 -1.4233 10.1008
! raw formation energy	-1213	meV per atom
! crystal system	orthorhombic
! total magnetization	0.00	μB per formula unit

17.
! Zr2ZnSb2 | the Alexandria database | GGA-PBEsol | relaxed; values from VASP
&SYSTEM
  ibrav = 0, nat = 5, ntyp = 3
/
ATOMIC_SPECIES
Zr 91.22 Zr.upf
Sb 121.76 Sb.upf
Zn 65.41 Zn.upf
ATOMIC_POSITIONS crystal
Zr 0.7500 0.2500 0.5000
Zr 0.2500 0.7500 0.5000
Sb 0.3825 0.3825 0.7650
Sb 0.6175 0.6175 0.2350
Zn 0.0000 0.0000 0.0000
CELL_PARAMETERS angstrom
4.7050 0.0000 0.0000
0.0000 4.7050 0.0000
-2.3525 -2.3525 5.9574
! raw formation energy	-26	meV per atom
! crystal system	tetragonal
! total magnetization	0.00	μB per formula unit

18.
! CdAg2Hg | the Alexandria database | GGA-PBEsol | relaxed; values from VASP
&SYSTEM
  ibrav = 0, nat = 4, ntyp = 3
/
ATOMIC_SPECIES
Hg 200.59 Hg.upf
Ag 107.87 Ag.upf
Cd 112.41 Cd.upf
ATOMIC_POSITIONS crystal
Hg 0.2500 0.7500 0.5000
Ag 0.0000 0.0000 0.0000
Ag 0.7500 0.2500 0.5000
Cd 0.5000 0.5000 0.0000
CELL_PARAMETERS angstrom
4.1305 0.0000 0.0000
0.0000 4.1305 0.0000
-2.0652 -2.0652 4.2962
! energy of formation from the pure elements	-34	meV/atom
! energy above the lowest structure with this stoichiometry	0	meV per atom
! crystal system	tetragonal
! total magnetization	0.00	μB per formula unit

19.
! CdWS3 | the Alexandria database | GGA-PBEsol | relaxed; values from VASP
&SYSTEM
  ibrav = 0, nat = 5, ntyp = 3
/
ATOMIC_SPECIES
W 183.84 W.upf
Cd 112.41 Cd.upf
S 32.06 S.upf
ATOMIC_POSITIONS crystal
W 0.5000 0.5000 0.5000
Cd 0.0000 0.0000 0.0000
S 0.0000 0.5000 0.0000
S 0.5000 0.0000 0.0000
S 0.0000 0.0000 0.5000
CELL_PARAMETERS angstrom
-4.4500 -1.6919 0.3720
1.6324 -4.4388 -0.6605
0.5797 -0.4883 4.7148
! raw formation energy	1522	meV per atom
! crystal system	cubic
! total magnetization	2.75	μB per formula unit

20.
! NaLaP2O7 | the Alexandria database | GGA-PBEsol | relaxed; values from VASP
&SYSTEM
  ibrav = 0, nat = 44, ntyp = 4
/
ATOMIC_SPECIES
O 16.00 O.upf
P 30.97 P.upf
La 138.91 La.upf
Na 22.99 Na.upf
ATOMIC_POSITIONS crystal
O 0.5060 0.9289 0.2632
O 0.9940 0.9289 0.2632
O 0.0060 0.0711 0.7368
O 0.5122 0.6625 0.4206
O 0.4940 0.0711 0.7368
O 0.9878 0.6625 0.4206
O 0.2500 0.5806 0.9340
O 0.2500 0.3392 0.8203
O 0.4878 0.3375 0.5794
O 0.4878 0.8375 0.9206
O 0.7500 0.1608 0.3203
O 0.7500 0.4194 0.0660
O 0.2500 0.0806 0.5660
O 0.0122 0.8375 0.9206
O 0.9940 0.4289 0.2368
O 0.0122 0.3375 0.5794
O 0.7500 0.7380 0.5849
O 0.2500 0.2620 0.4151
O 0.7500 0.2380 0.9151
O 0.2500 0.8392 0.6797
O 0.5122 0.1625 0.0794
O 0.7500 0.9194 0.4340
O 0.5060 0.4289 0.2368
O 0.9878 0.1625 0.0794
O 0.2500 0.7620 0.0849
O 0.4940 0.5711 0.7632
O 0.0060 0.5711 0.7632
O 0.7500 0.6608 0.1797
P 0.7500 0.7373 0.4660
P 0.2500 0.5143 0.8161
P 0.7500 0.2373 0.0340
P 0.2500 0.0143 0.6839
P 0.7500 0.4857 0.1839
P 0.2500 0.7627 0.9660
P 0.2500 0.2627 0.5340
P 0.7500 0.9857 0.3161
La 0.2500 0.1837 0.2363
La 0.7500 0.8163 0.7637
La 0.2500 0.6837 0.2637
La 0.7500 0.3163 0.7363
Na 0.2500 0.1211 0.9221
Na 0.7500 0.8789 0.0779
Na 0.2500 0.6211 0.5779
Na 0.7500 0.3789 0.4221
CELL_PARAMETERS angstrom
5.2953 0.0000 0.0000
0.0000 8.6370 0.0000
0.0000 0.0000 12.7443
! raw formation energy	-2691	meV per atom
! crystal system	orthorhombic
! total magnetization	0.00	μB per formula unit

21.
! Ba4RuPb | the Alexandria database | GGA-PBEsol | relaxed; values from VASP
&SYSTEM
  ibrav = 0, nat = 6, ntyp = 3
/
ATOMIC_SPECIES
Ba 137.33 Ba.upf
Pb 207.20 Pb.upf
Ru 101.07 Ru.upf
ATOMIC_POSITIONS crystal
Ba 0.3748 0.8755 0.3748
Ba 0.8755 0.3748 0.3748
Ba 0.3748 0.3748 0.3748
Ba 0.3748 0.3748 0.8755
Pb 0.7500 0.7500 0.7500
Ru 0.0000 0.0000 0.0000
CELL_PARAMETERS angstrom
-6.6797 0.6862 0.5857
-3.7491 -5.1897 2.1081
-2.8488 0.1613 6.1067
! energy of formation from the pure elements	873	meV/atom
! crystal system	cubic
! total magnetization	1.18	μB per formula unit

22.
! NaTc3Sn | the Alexandria database | GGA-PBEsol | relaxed; values from VASP
&SYSTEM
  ibrav = 0, nat = 5, ntyp = 3
/
ATOMIC_SPECIES
Sn 118.71 Sn.upf
Tc 98.00 Tc.upf
Na 22.99 Na.upf
ATOMIC_POSITIONS crystal
Sn 0.5000 0.5000 0.5000
Tc 0.0000 0.0000 0.5000
Tc 0.5000 0.0000 0.0000
Tc 0.0000 0.5000 0.0000
Na 0.0000 0.0000 0.0000
CELL_PARAMETERS angstrom
-0.1729 1.0552 4.3593
1.3918 -4.1346 1.0560
4.2638 1.3924 -0.1679
! energy of formation from the pure elements	2348	meV/atom
! energy above the lowest structure with this stoichiometry	161	meV per atom
! crystal system	cubic
! total magnetization	5.46	μB per formula unit

23.
! Ta2BiPSe | the Alexandria database | GGA-PBEsol | relaxed; values from VASP
&SYSTEM
  ibrav = 0, nat = 5, ntyp = 4
/
ATOMIC_SPECIES
Se 78.96 Se.upf
Ta 180.95 Ta.upf
P 30.97 P.upf
Bi 208.98 Bi.upf
ATOMIC_POSITIONS crystal
Se 0.0000 0.0000 0.5000
Ta 0.5000 0.0000 0.0000
Ta 0.0000 0.5000 0.0000
P 0.0000 0.0000 0.0000
Bi 0.5000 0.5000 0.5000
CELL_PARAMETERS angstrom
-2.3969 -3.7380 -1.6300
2.4090 -2.8235 2.9324
-3.2940 0.6566 3.3383
! raw formation energy	691	meV per atom
! crystal system	tetragonal
! total magnetization	0.00	μB per formula unit